# 1
# CaPm5Ag6

A geometry-optimized CaPm5Ag6 structure (GGA-PBE, the Alexandria database).

Unit cell a=5.2787 b=7.4233 c=8.3507 alpha=90.00 beta=71.63 gamma=90.00
Atoms (fractional coordinates):
1 Ca 0.0000 0.0000 0.0000
2 Ag 0.8313 0.7492 0.3372
3 Ag 0.8313 0.2508 0.3372
4 Ag 0.5000 0.2548 0.0000
5 Ag 0.5000 0.7452 0.0000
6 Ag 0.1687 0.7492 0.6628
7 Ag 0.1687 0.2508 0.6628
8 Pm 0.6660 0.5000 0.6675
9 Pm 0.3350 0.0000 0.3300
10 Pm 0.0000 0.5000 0.0000
11 Pm 0.6650 0.0000 0.6700
12 Pm 0.3340 0.5000 0.3325

Output
DOS(E_F): 8.83 states/eV per cell
DFT formation energy: -0.281 eV/atom
Mass density: 7.55 Mg/m³
Uncorrected energy: -46.24 eV for the cell shown



# 2
# CeDy6Th

A geometry-optimized CeDy6Th structure (GGA-PBE, the Alexandria database).

Unit cell a=6.8423 b=6.4195 c=6.7990 alpha=79.65 beta=59.86 gamma=87.68
Site moments in Bohr magnetons follow the coordinates.
Atoms (fractional coordinates):
1 Ce 0.0000 0.5000 0.0000  0.51
2 Dy 0.0927 0.7626 0.4787  0.02
3 Dy 0.5720 0.7304 0.5225  0.02
4 Dy 0.4280 0.2696 0.4775  0.02
5 Dy 0.9073 0.2374 0.5213  0.02
6 Dy 0.5586 0.7518 0.9997  0.04
7 Dy 0.4414 0.2482 0.0003  0.04
8 Th 0.0000 0.0000 0.0000  0.03

Output
DOS(E_F): 17.52 states/eV per cell
DFT formation energy: 0.232 eV/atom
Mass density: 8.82 Mg/m³
Uncorrected energy: -39.11 eV for the cell shown



# 3
# LiTa2Tl

A geometry-optimized LiTa2Tl structure (GGA-PBE, the Alexandria database).

Unit cell a=2.9101 b=4.6851 c=5.4405 alpha=90.00 beta=90.00 gamma=90.00
Atoms (fractional coordinates):
1 Li 0.5000 0.5000 0.7500
2 Ta 0.0000 0.0000 0.9918
3 Ta 0.0000 0.0000 0.5082
4 Tl 0.5000 0.5000 0.2500

Output
DOS(E_F): 2.36 states/eV per cell
DFT formation energy: 0.488 eV/atom
Mass density: 12.83 Mg/m³
Uncorrected energy: -26.03 eV for the cell shown



# 4
# Hf2CrHRh

A geometry-optimized Hf2CrHRh structure (GGA-PBE, the Alexandria database).

Unit cell a=4.5585 b=4.5585 c=3.3422 alpha=90.00 beta=90.00 gamma=90.00
Atoms (fractional coordinates):
1 Rh 0.5000 0.5000 0.5000
2 Hf 0.0000 0.5000 0.0000
3 Hf 0.5000 0.0000 0.0000
4 H 0.0000 0.0000 0.0000
5 Cr 0.0000 0.0000 0.5000

Output
Energy relative to the lowest polymorph listed for this composition: 0.000 eV/atom
DOS(E_F): 2.88 states/eV per cell
Mass density: 12.26 Mg/m³
Uncorrected energy: -42.31 eV for the cell shown



# 5
# Cd4GaHg2

A geometry-optimized Cd4GaHg2 structure (GGA-PBE, the Alexandria database).

Unit cell a=3.1455 b=3.2918 c=17.8815 alpha=83.83 beta=90.00 gamma=118.54
Atoms (fractional coordinates):
1 Hg 0.0467 0.0934 0.7824
2 Hg 0.9533 0.9066 0.2176
3 Ga 0.0000 0.0000 0.5000
4 Cd 0.6464 0.2928 0.0722
5 Cd 0.3536 0.7072 0.9278
6 Cd 0.6339 0.2678 0.6340
7 Cd 0.3661 0.7322 0.3660

Output
Energy relative to the lowest polymorph listed for this composition: 0.000 eV/atom
DOS(E_F): 2.16 states/eV per cell
DFT formation energy: 0.041 eV/atom
Mass density: 9.47 Mg/m³
Uncorrected energy: -7.01 eV for the cell shown



# 6
# PmSm3Pa2P6

A geometry-optimized PmSm3Pa2P6 structure (GGA-PBE, the Alexandria database).

Unit cell a=7.0275 b=7.0275 c=7.0226 alpha=99.59 beta=99.59 gamma=120.00
Atoms (fractional coordinates):
1 Pm 0.0000 0.0000 0.0000
2 Sm 0.1644 0.8356 0.5000
3 Sm 0.8356 0.1644 0.5000
4 Sm 0.5000 0.5000 0.5000
5 Pa 0.3330 0.6670 0.0000
6 Pa 0.6670 0.3330 0.0000
7 P 0.9196 0.5766 0.7595
8 P 0.7375 0.7375 0.2408
9 P 0.0804 0.4234 0.2405
10 P 0.5766 0.9196 0.7595
11 P 0.2625 0.2625 0.7592
12 P 0.4234 0.0804 0.2405

Output
DOS(E_F): 8.60 states/eV per cell
DFT formation energy: -1.497 eV/atom
Mass density: 7.29 Mg/m³
Uncorrected energy: -88.32 eV for the cell shown



> What is the mass density in the first record?

7.55 Mg/m³



> What is the formula in the third record?

LiTa2Tl



> Which value of uncorrected energy does entry 1 give?

-46.24 eV for the cell shown



> The highest mass density belongs to which entry?

LiTa2Tl